Entry 1:
This record from Alexandria via LeMat-Bulk describes an optimized crystal structure of Na2InPb9. The functional is PBE.

Properties
The total DFT energy (no corrections) is -3.30 eV per atom.

Geometry as extended XYZ:
```
12
Lattice="4.964 0.000 0.000 0.000 4.964 0.000 0.000 0.000 14.702" Properties=species:S:1:pos:R:3 pbc="T T T"
Na 0.000 0.000 2.434
Na 0.000 0.000 12.267
In 0.000 0.000 7.351
Pb 0.000 2.482 0.000
Pb 0.000 2.482 4.895
Pb 0.000 2.482 9.807
Pb 2.482 0.000 0.000
Pb 2.482 0.000 4.895
Pb 2.482 0.000 9.807
Pb 2.482 2.482 2.450
Pb 2.482 2.482 7.351
Pb 2.482 2.482 12.252
```


Entry 2:
This record from Alexandria via LeMat-Bulk describes an optimized crystal structure of Na6InPb2. The functional is PBE.

Properties
The energy above the most stable polymorph in this dataset comes out at 0.00 eV per formula unit. The total DFT energy (no corrections) is -2.13 eV per atom.

Geometry as extended XYZ:
```
9
Lattice="2.777 1.603 10.581 -2.777 1.603 10.581 0.000 -3.206 10.581" Properties=species:S:1:pos:R:3 pbc="T T T"
Na 0.000 0.000 2.613
Na 0.000 0.000 6.383
Na 0.000 0.000 9.698
Na 0.000 0.000 22.047
Na 0.000 0.000 25.361
Na 0.000 0.000 29.131
In 0.000 0.000 15.872
Pb 0.000 0.000 12.945
Pb 0.000 0.000 18.799
```


Entry 3:
This record from Alexandria via LeMat-Bulk describes an optimized crystal structure of Na6InPb5. The functional is PBE.

Properties
The total DFT energy (no corrections) is -2.56 eV per atom.

Geometry as extended XYZ:
```
12
Lattice="-2.401 4.917 7.214 2.401 -4.917 7.214 2.401 4.917 -7.214" Properties=species:S:1:pos:R:3 pbc="T T T"
Na 2.401 2.441 -2.414
Na 0.000 2.430 0.000
Na 2.401 2.441 2.414
Na 0.000 2.477 4.800
Na 0.000 7.405 0.000
Na 0.000 2.477 9.628
In 0.000 0.000 7.214
Pb 2.401 0.000 0.000
Pb 0.000 0.000 2.447
Pb 2.401 0.000 4.866
Pb 0.000 4.917 2.348
Pb 0.000 0.000 11.981
```


Entry 4:
This record from Alexandria via LeMat-Bulk describes an optimized crystal structure of Na3In2Pb6. The functional is PBE.

Properties
The total DFT energy (no corrections) is -2.92 eV per atom.

Geometry as extended XYZ:
```
11
Lattice="4.718 0.000 0.000 0.002 4.727 0.000 2.044 2.202 15.865" Properties=species:S:1:pos:R:3 pbc="T T T"
Na 0.000 0.000 0.000
Na 1.993 2.187 10.747
Na 4.771 4.742 5.119
In 2.398 2.374 4.546
In 4.366 4.555 11.320
Pb 2.019 4.562 13.408
Pb 2.230 2.295 7.545
Pb 2.380 4.732 2.461
Pb 4.385 2.197 13.405
Pb 4.534 4.635 8.320
Pb 4.745 2.367 2.457
```


Entry 5:
This record from Alexandria via LeMat-Bulk describes an optimized crystal structure of NaIn8Pb4. The functional is PBE.

Properties
The total DFT energy (no corrections) is -2.94 eV per atom.

Geometry as extended XYZ:
```
13
Lattice="5.448 -2.394 0.000 5.448 2.394 0.000 -0.513 0.000 14.172" Properties=species:S:1:pos:R:3 pbc="T T T"
Na 0.000 0.000 0.000
In 0.548 0.000 10.943
In 2.312 0.000 4.305
In 3.273 0.000 1.125
In 4.700 0.000 8.792
In 5.684 0.000 5.381
In 7.111 0.000 13.047
In 8.072 0.000 9.868
In 9.836 0.000 3.230
Pb 1.363 0.000 7.661
Pb 3.848 0.000 12.037
Pb 6.536 0.000 2.135
Pb 9.021 0.000 6.512
```


Entry 6:
This record from Alexandria via LeMat-Bulk describes an optimized crystal structure of NaIn8Pb6. The functional is PBE.

Properties
The energy above the most stable polymorph in this dataset comes out at 0.00 eV per formula unit. The total DFT energy (no corrections) is -3.01 eV per atom.

Geometry as extended XYZ:
```
15
Lattice="4.252 2.455 6.976 -4.252 2.455 6.976 0.000 -4.910 6.976" Properties=species:S:1:pos:R:3 pbc="T T T"
Na 0.000 0.000 0.000
In -2.919 -1.029 11.106
In -0.568 -3.042 9.821
In -2.351 2.013 9.821
In 0.000 0.000 8.864
In 0.000 0.000 12.063
In 2.351 -2.013 11.106
In 0.568 3.042 11.106
In 2.919 1.029 9.821
Pb -0.817 -1.826 6.106
Pb -1.173 1.621 6.106
Pb -1.990 -0.205 14.821
Pb 1.990 0.205 6.106
Pb 1.173 -1.621 14.821
Pb 0.817 1.826 14.821
```


Entry 7:
This record from Alexandria via LeMat-Bulk describes an optimized crystal structure of NaIn3Pb3. The functional is PBE.

Properties
The energy above the most stable polymorph in this dataset comes out at 0.00 eV per formula unit. The total DFT energy (no corrections) is -2.95 eV per atom.

Geometry as extended XYZ:
```
14
Lattice="3.959 2.286 7.967 -3.959 2.286 7.967 0.000 -4.571 7.967" Properties=species:S:1:pos:R:3 pbc="T T T"
Na 0.000 0.000 4.293
Na 0.000 0.000 19.608
In -0.665 -1.786 7.153
In -1.214 1.469 7.153
In -1.879 -0.317 16.748
In 1.879 0.317 7.153
In 1.214 -1.469 16.748
In 0.665 1.786 16.748
Pb -0.585 -1.847 10.419
Pb -1.892 -0.417 13.482
Pb -1.307 1.430 10.419
Pb 1.307 -1.430 13.482
Pb 1.892 0.417 10.419
Pb 0.585 1.847 13.482
```


Entry 8:
This record from Alexandria via LeMat-Bulk describes an optimized crystal structure of Na2In3Pb5. The functional is PBE.

Properties
The energy above the most stable polymorph in this dataset comes out at 0.56 eV per formula unit. The total DFT energy (no corrections) is -2.92 eV per atom.

Geometry as extended XYZ:
```
20
Lattice="-6.640 7.519 3.347 6.640 -7.519 3.347 6.640 7.519 -3.347" Properties=species:S:1:pos:R:3 pbc="T T T"
Na 1.754 3.522 0.000
Na 8.394 3.996 0.000
Na -1.754 3.522 3.347
Na 4.886 3.996 3.347
In 4.949 -5.366 3.347
In 6.640 0.000 1.674
In 4.949 5.366 0.000
In 1.691 2.152 3.347
In 0.000 7.519 1.674
In 1.691 12.885 0.000
Pb 5.166 2.280 0.000
Pb 0.000 0.000 1.674
Pb 3.416 0.000 1.674
Pb 9.864 0.000 1.674
Pb 5.166 -2.280 3.347
Pb 1.474 9.799 0.000
Pb -3.224 7.519 1.674
Pb 3.224 7.519 1.674
Pb 0.000 0.000 5.021
Pb 1.474 5.238 3.347
```


Entry 9:
This record from Alexandria via LeMat-Bulk describes an optimized crystal structure of NaInPb. The functional is PBE.

Properties
The total DFT energy (no corrections) is -2.70 eV per atom.

Geometry as extended XYZ:
```
6
Lattice="4.663 0.000 0.000 2.288 5.490 0.000 0.050 2.477 6.562" Properties=species:S:1:pos:R:3 pbc="T T T"
Na 1.172 1.746 2.176
Na 5.829 6.222 4.386
In 1.197 2.995 5.501
In 5.805 4.972 1.060
Pb 3.476 2.745 0.000
Pb 3.501 3.984 3.281
```


Entry 10:
This record from Alexandria via LeMat-Bulk describes an optimized crystal structure of Na4In4Pb. The functional is PBE.

Properties
The total DFT energy (no corrections) is -2.34 eV per atom.

Geometry as extended XYZ:
```
9
Lattice="-5.110 5.110 2.343 5.110 -5.110 2.343 5.110 5.110 -2.343" Properties=species:S:1:pos:R:3 pbc="T T T"
Na 1.702 1.702 0.000
Na 3.408 -3.408 2.343
Na -3.408 3.408 2.343
Na 3.408 3.408 2.343
In 5.110 1.604 0.000
In 1.604 5.110 0.000
In 3.507 0.000 2.343
In 0.000 3.507 2.343
Pb 0.000 0.000 2.343
```


Entry 11:
This record from Alexandria via LeMat-Bulk describes an optimized crystal structure of Na3InPb. The functional is PBE.

Properties
The energy above the most stable polymorph in this dataset comes out at 0.59 eV per formula unit. The total DFT energy (no corrections) is -2.08 eV per atom.

Geometry as extended XYZ:
```
10
Lattice="6.706 -4.288 0.000 6.706 4.288 0.000 -3.308 0.000 5.798" Properties=species:S:1:pos:R:3 pbc="T T T"
Na 5.052 4.275 2.899
Na 5.497 0.016 3.158
Na 7.151 -0.016 0.259
Na 10.269 1.595 0.152
Na 8.615 -1.595 3.051
Na 6.706 -4.275 0.000
In 2.732 0.000 1.608
In 1.078 0.000 4.507
Pb 8.616 1.633 3.049
Pb 10.270 -1.633 0.150
```


no.,M_tot (μB per formula unit)
1,0.00
2,0.00
3,0.00
4,0.00
5,0.00
6,0.00
7,0.00
8,0.00
9,0.00
10,0.00
11,0.00